1.
Below is a geometry-optimized Ti2HgS structure, with properties calculated at the GGA-PBE level.

Values from the calculation:
**E_form (uncorrected)**: -16.7 kcal/mol of atoms
**Fermi-level density of states**: 9.8 states/eV per cell
**Calculated volume**: 17.72 Å³/atom

```
data_Ti2HgS
_cell_length_a 3.4287
_cell_length_b 3.4287
_cell_length_c 20.8829
_cell_angle_alpha 90.00
_cell_angle_beta 90.00
_cell_angle_gamma 120.00
_space_group_name_H-M_alt 'R -3 m'
_space_group_IT_number 166
_space_group_name_Hall '-R 3 2"'
loop_
_atom_site_label
_atom_site_fract_x
_atom_site_fract_y
_atom_site_fract_z
Ti1 0.0000 0.0000 0.2278
Hg1 0.0000 0.0000 0.0000
S1 0.0000 0.0000 0.5000
```

2.
Below is a geometry-optimized TiHgS4 structure, with properties calculated at the GGA-PBE level.

Values from the calculation:
**E_form (uncorrected)**: -8.5 kcal/mol of atoms
**Fermi-level density of states**: 7.5 states/eV per cell
**Calculated volume**: 24.31 Å³/atom

```
data_TiHgS4
_cell_length_a 14.366
_cell_length_b 7.436
_cell_length_c 5.463
_cell_angle_alpha 90.00
_cell_angle_beta 90.51
_cell_angle_gamma 90.00
_space_group_name_H-M_alt 'C 1 2/m 1'
_space_group_IT_number 12
loop_
_space_group_symop_operation_xyz
'x,y,z'
'-x,-y,-z'
'-x,y,-z'
'x,-y,z'
'x+1/2,y+1/2,z'
'-x+1/2,-y+1/2,-z'
'-x+1/2,y+1/2,-z'
'x+1/2,-y+1/2,z'
loop_
_atom_site_label
_atom_site_fract_x
_atom_site_fract_y
_atom_site_fract_z
Ti1 0.059 0.000 0.273
Hg1 0.244 0.000 0.752
S1 0.000 0.234 0.000
S2 0.067 0.247 0.577
S3 0.219 0.000 0.240
```

3.
Below is a geometry-optimized TiHgS2 structure, with properties calculated at the GGA-PBE level.

Values from the calculation:
**E_form (uncorrected)**: -12.3 kcal/mol of atoms
**Fermi-level density of states**: 13.4 states/eV per cell
**Calculated volume**: 20.28 Å³/atom

```
data_TiHgS2
_cell_length_a 5.305
_cell_length_b 5.305
_cell_length_c 11.532
_cell_angle_alpha 90.00
_cell_angle_beta 90.00
_cell_angle_gamma 90.00
_space_group_name_H-M_alt 'I 41/a m d'
_space_group_IT_number 141
loop_
_space_group_symop_operation_xyz
'x,y,z'
'-x,-y,-z'
'-y+1/4,x+3/4,z+1/4'
'y+1/4,-x+3/4,-z+1/4'
'-x+1/2,-y,z+1/2'
'x+1/2,y,-z+1/2'
'y+1/4,-x+1/4,z+3/4'
'-y+1/4,x+1/4,-z+3/4'
'x,-y,-z'
'-x,y,z'
'-y+1/4,-x+1/4,-z+3/4'
'y+1/4,x+1/4,z+3/4'
'-x+1/2,y,-z+1/2'
'x+1/2,-y,z+1/2'
'y+1/4,x+3/4,-z+1/4'
'-y+1/4,-x+3/4,z+1/4'
'x+1/2,y+1/2,z+1/2'
'-x+1/2,-y+1/2,-z+1/2'
'-y+3/4,x+1/4,z+3/4'
'y+3/4,-x+1/4,-z+3/4'
'-x,-y+1/2,z'
'x,y+1/2,-z'
'y+3/4,-x+3/4,z+1/4'
'-y+3/4,x+3/4,-z+1/4'
'x+1/2,-y+1/2,-z+1/2'
'-x+1/2,y+1/2,z+1/2'
'-y+3/4,-x+3/4,-z+1/4'
'y+3/4,x+3/4,z+1/4'
'-x,y+1/2,-z'
'x,-y+1/2,z'
'y+3/4,x+1/4,-z+3/4'
'-y+3/4,-x+1/4,z+3/4'
loop_
_atom_site_label
_atom_site_fract_x
_atom_site_fract_y
_atom_site_fract_z
Ti1 0.000 0.250 0.375
Hg1 0.000 0.250 0.875
S1 0.000 0.250 0.159
```

4.
Below is a geometry-optimized TiHgS2 structure, with properties calculated at the GGA-PBE level.

Values from the calculation:
**E_form (uncorrected)**: -18.0 kcal/mol of atoms
**Fermi-level density of states**: 0.0 states/eV per cell
**Calculated volume**: 25.85 Å³/atom

```
data_TiHgS2
_cell_length_a 6.162
_cell_length_b 5.925
_cell_length_c 12.895
_cell_angle_alpha 90.00
_cell_angle_beta 118.53
_cell_angle_gamma 90.00
_space_group_name_H-M_alt 'P 1 21/c 1'
_space_group_IT_number 14
loop_
_space_group_symop_operation_xyz
'x,y,z'
'-x,-y,-z'
'-x,y+1/2,-z+1/2'
'x,-y+1/2,z+1/2'
loop_
_atom_site_label
_atom_site_fract_x
_atom_site_fract_y
_atom_site_fract_z
Ti1 0.217 0.001 0.467
Hg1 0.192 0.240 0.753
S1 0.135 0.725 0.086
S2 0.460 0.722 0.911
```

Which value of calculated volume does entry 4 give? 25.85 Å³/atom